(1)
VASP calculation (PBE) on PmSm4Si2 after structural relaxation.

It has space group R-3m (No. 166, hexagonal axes), with a = 4.9045 Å, b = 4.9045 Å, c = 30.4073 Å, α = 90.00°, β = 90.00° and γ = 120.00°. Symmetry generates all atoms from Pm at (0.0000, 0.0000, 0.0000), Sm at (0.0000, 0.0000, 0.2009), Sm at (0.0000, 0.0000, 0.3971) and Si at (0.0000, 0.0000, 0.1002).

The value obtained for the total magnetic moment is 0.2 μB/f.u. The total energy is -109.06 eV per cell.

(2)
VASP calculation (PBE) on MgZr4Zn3 after structural relaxation.

It has space group P4/mmm (No. 123), with a = 4.7827 Å, b = 4.7827 Å, c = 6.7708 Å, α = 90.00°, β = 90.00° and γ = 90.00°. Symmetry generates all atoms from Mg at (0.0000, 0.0000, 0.0000), Zr at (0.0000, 0.5000, 0.2568), Zn at (0.0000, 0.0000, 0.5000), Zn at (0.5000, 0.5000, 0.0000) and Zn at (0.5000, 0.5000, 0.5000).

The value obtained for the total magnetic moment is 0.0 μB/f.u. The total energy is -40.95 eV per cell. The formation energy comes out at -0.1682 eV per atom.

(3)
VASP calculation (PBE) on TaRe2HgAu after structural relaxation.

It has space group P4/mmm (No. 123), with a = 4.9070 Å, b = 4.9070 Å, c = 4.8493 Å, α = 90.00°, β = 90.00° and γ = 90.00°. Symmetry generates all atoms from Ta at (0.0000, 0.0000, 0.0000), Re at (0.0000, 0.5000, 0.5000), Hg at (0.5000, 0.5000, 0.0000) and Au at (0.5000, 0.5000, 0.5000).

The value obtained for the total magnetic moment is 2.1 μB/f.u. The total energy is -27.69 eV per cell. The formation energy comes out at 2.5271 eV per atom.

(4)
VASP calculation (PBE) on K3Y2TiS6 after structural relaxation.

It has space group C2/m (No. 12), with a = 6.8184 Å, b = 11.8158 Å, c = 7.6914 Å, α = 90.00°, β = 107.21° and γ = 90.00°. Symmetry generates all atoms from K at (0.0000, 0.0000, 0.0000), K at (0.0000, 0.3304, 0.0000), Y at (0.0000, 0.1667, 0.5000), Ti at (0.0000, 0.5000, 0.5000), S at (0.2224, 0.3434, 0.6969) and S at (0.2467, 0.5000, 0.3033).

The value obtained for the total magnetic moment is 1.0 μB/f.u. The total energy is -137.75 eV per cell.

(5)
VASP calculation (PBE) on Ac2Tb2In3 after structural relaxation.

It has space group Cmmm (No. 65), with a = 4.7253 Å, b = 26.0596 Å, c = 3.6172 Å, α = 90.00°, β = 90.00° and γ = 90.00°. Symmetry generates all atoms from Ac at (0.0000, 0.0763, 0.0000), Tb at (0.0000, 0.2069, 0.0000), In at (0.0000, 0.3387, 0.5000) and In at (0.0000, 0.5000, 0.5000).

The value obtained for the total magnetic moment is 0.0 μB/f.u. The total energy is -55.30 eV per cell. The formation energy comes out at -0.2799 eV per atom.

(6)
VASP calculation (PBE) on DyTh2Cu6 after structural relaxation.

It has space group P6/mmm (No. 191), with a = 7.4785 Å, b = 7.4785 Å, c = 3.5680 Å, α = 90.00°, β = 90.00° and γ = 120.00°. Symmetry generates all atoms from Dy at (0.0000, 0.0000, 0.0000), Th at (0.3333, 0.6667, 0.0000) and Cu at (0.0000, 0.3314, 0.5000).

The value obtained for the total magnetic moment is 0.0 μB/f.u. The total energy is -45.93 eV per cell. The formation energy comes out at -0.2121 eV per atom.

- total magnetic moment of number 3 (TaRe2HgAu)?
  2.1 μB/f.u.

- Which value of total magnetic moment does entry 3 give?
  2.1 μB/f.u.

- Which value of total magnetic moment does entry 1 give?
  0.2 μB/f.u.

- Among the records above, which one has the highest total magnetic moment?
  TaRe2HgAu